Computed, not measured: a geometry-optimized MoOs3F structure at the PBE+U level of DFT.

Properties
relative energy among the computed polymorphs	0.0	meV/atom
calculated density	15.1	g cm⁻³
size of the total moment	1.34	Bohr magnetons per cell
D(E_F)	4.9	states/eV per cell

```
data_MoOs3F
_chemical_formula_sum 'Mo1 Os3 F1'
_symmetry_space_group_name_H-M 'P 1'
_symmetry_Int_Tables_number 1
_symmetry_space_group_name_Hall 'P 1'
_cell_length_a 4.222
_cell_length_b 4.222
_cell_length_c 4.222
_cell_angle_alpha 90.00
_cell_angle_beta 90.00
_cell_angle_gamma 90.00
loop_
_atom_site_label
_atom_site_type_symbol
_atom_site_fract_x
_atom_site_fract_y
_atom_site_fract_z
Mo1 Mo 0.000 0.000 0.000
Os1 Os 0.000 0.500 0.500
Os2 Os 0.500 0.000 0.500
Os3 Os 0.500 0.500 0.000
F1 F 0.500 0.500 0.500
```